## SrZn2Fe2 (GGA-PBE)

Data for an optimized crystal structure of SrZn2Fe2.

Results
For the size of the total moment, the calculation gives 0.825 μB per atom. As for the crystal system: tetragonal. Its total energy is -3.9857 eV/atom.

Cell and atoms, written as POSCAR:
```
SrZn2Fe2
1.0
4.313 0.000 0.000
0.000 4.313 0.000
2.157 2.157 5.040
Sr Zn Fe
1 2 2
Cartesian
0.000 0.000 0.000
4.313 2.157 2.520
2.157 4.313 2.520
2.157 2.157 1.119
4.313 4.313 3.921
```